OsW2O2 (PBE+U, relaxed); density = 14894 kg/m³; polymorph energy (0 for the lowest one) = 0.932 eV/atom; crystal system = tetragonal
1.0
7.001 0.000 0.000
0.000 7.001 0.000
0.000 0.000 2.683
Os W O
2 4 4
direct
0.000 0.000 0.000
0.500 0.500 0.000
0.154 0.346 0.000
0.346 0.846 0.000
0.654 0.154 0.000
0.846 0.654 0.000
0.114 0.614 0.500
0.386 0.114 0.500
0.614 0.886 0.500
0.886 0.386 0.500